Entry 1:
Below is a relaxed Sm6Se3S2N crystal, with properties calculated at the PBE-GGA level.

```
data_Sm6Se3S2N
_chemical_formula_sum 'Sm6 Se3 S2 N1'
_space_group_name_H-M_alt 'P 1'
_space_group_IT_number 1
_cell_length_a 6.915
_cell_length_b 6.915
_cell_length_c 7.094
_cell_angle_alpha 99.36
_cell_angle_beta 99.36
_cell_angle_gamma 119.94
loop_
_space_group_symop_operation_xyz
'x,y,z'
loop_
_atom_site_label
_atom_site_type_symbol
_atom_site_fract_x
_atom_site_fract_y
_atom_site_fract_z
Sm1 Sm 0.929 0.621 0.787
Sm2 Sm 0.764 0.764 0.217
Sm3 Sm 0.071 0.379 0.213
Sm4 Sm 0.621 0.929 0.787
Sm5 Sm 0.236 0.236 0.783
Sm6 Sm 0.379 0.071 0.213
Se1 Se 0.172 0.828 0.500
Se2 Se 0.828 0.172 0.500
Se3 Se 0.500 0.500 0.500
S1 S 0.334 0.666 0.000
S2 S 0.666 0.334 0.000
N1 N 0.000 0.000 0.000
```

Properties
Crystal system   monoclinic
Raw total energy   -77.27 eV per cell



Entry 2:
Below is a relaxed Sr2TmGa3Au4 crystal, with properties calculated at the PBE-GGA level.

```
data_Sr2TmGa3Au4
_chemical_formula_sum 'Sr2 Tm1 Ga3 Au4'
_space_group_name_H-M_alt 'P 1'
_space_group_IT_number 1
_cell_length_a 4.542
_cell_length_b 4.542
_cell_length_c 11.376
_cell_angle_alpha 90.00
_cell_angle_beta 90.00
_cell_angle_gamma 90.00
loop_
_space_group_symop_operation_xyz
'x,y,z'
loop_
_atom_site_label
_atom_site_type_symbol
_atom_site_fract_x
_atom_site_fract_y
_atom_site_fract_z
Sr1 Sr 0.500 0.000 0.227
Sr2 Sr 0.000 0.500 0.773
Tm1 Tm 0.500 0.500 0.500
Ga1 Ga 0.000 0.000 0.500
Ga2 Ga 0.500 0.000 0.881
Ga3 Ga 0.000 0.500 0.119
Au1 Au 0.500 0.500 0.000
Au2 Au 0.000 0.000 0.000
Au3 Au 0.500 0.000 0.653
Au4 Au 0.000 0.500 0.347
```

Properties
Formation enthalpy at 0 K   -0.64 eV per atom
Crystal system   tetragonal



What are the theoretical density values for these records? In order: 7.27; 9.49 g cm⁻³.
What are the DOS at the Fermi energy values for these records? In order: 4.50; 6.28 states/eV per cell.